(1)
## Mn2VBiB (GGA-PBE)

Data for crystalline Mn2VBiB at its relaxed geometry.

The space group is P4/mmm (No. 123) and the conventional cell measures 4.025, 4.025 and 5.028 Å, with angles of 90.00, 90.00 and 90.00 degrees. The inequivalent atoms are Mn at (0.000, 0.500, 0.000), V at (0.000, 0.000, 0.500), Bi at (0.500, 0.500, 0.500) and B at (0.500, 0.500, 0.000).

For the density of states at the Fermi level, the calculation gives 2.116 states/eV per cell. For the size of the total moment, the calculation gives 3.3 Bohr magnetons per cell. The crystal system is tetragonal. The formation energy comes out at 560.6 meV per atom.

(2)
## Ho3MgIn (GGA-PBE)

Data for crystalline Ho3MgIn at its relaxed geometry.

The space group is P6_3/mmc (No. 194) and the conventional cell measures 8.2399, 8.2399 and 5.0806 Å, with angles of 90.00, 90.00 and 120.00 degrees. The inequivalent atoms are Ho at (0.1964, 0.3928, 0.2500), Mg at (0.0000, 0.0000, 0.0000) and In at (0.3333, 0.6667, 0.7500).

For the density of states at the Fermi level, the calculation gives 4.439 states/eV per cell. For the size of the total moment, the calculation gives 0.0 Bohr magnetons per cell. The calculation puts the energy above the most stable polymorph in this dataset at 308.0 meV per atom. The crystal system is hexagonal. The formation energy comes out at 70.7 meV per atom.

(3)
## LaRe (GGA-PBE)

Data for crystalline LaRe at its relaxed geometry.

The space group is I4/m (No. 87) and the conventional cell measures 11.093, 11.093 and 4.184 Å, with angles of 90.00, 90.00 and 90.00 degrees. The inequivalent atoms are La at (0.001, 0.742, 0.000) and Re at (0.199, 0.764, 0.500).

For the density of states at the Fermi level, the calculation gives 13.504 states/eV per cell. For the size of the total moment, the calculation gives 0.0 Bohr magnetons per cell. The calculation puts the energy above the most stable polymorph in this dataset at 310.5 meV per atom. The crystal system is tetragonal. The formation energy comes out at 462.1 meV per atom.

(4)
## Ca2PrSn (GGA-PBE)

Data for crystalline Ca2PrSn at its relaxed geometry.

The space group is P4/mmm (No. 123) and the conventional cell measures 4.937, 4.937 and 5.218 Å, with angles of 90.00, 90.00 and 90.00 degrees. The inequivalent atoms are Ca at (0.000, 0.500, 0.000), Pr at (0.000, 0.000, 0.500) and Sn at (0.500, 0.500, 0.500).

For the density of states at the Fermi level, the calculation gives 3.287 states/eV per cell. For the size of the total moment, the calculation gives 0.0 Bohr magnetons per cell. The calculation puts the energy above the most stable polymorph in this dataset at 0.0 meV per atom. The crystal system is tetragonal. The formation energy comes out at -404.6 meV per atom.